Sm3Zn2Rh4: relaxed, PBE.

Lattice parameters (Å, degrees): 4.2584 5.4507 8.5878 95.91 90.00 112.99
Closest atoms and distances in Å follow each position.
Positions (direct):
1 Sm 0.3780 0.7561 0.6203  6 Rh 2.78-3.10
2 Sm 0.6220 0.2439 0.3797  6 Rh 2.78-3.10
3 Rh 0.7154 0.4308 0.0869  3 Zn 2.58-2.63, 2 Rh 2.73, 1 Sm 2.78
4 Rh 0.9101 0.8202 0.3651  2 Zn 2.58, 1 Rh 2.77
5 Zn 0.6824 0.3649 0.7791  5 Rh 2.58-2.63
6 Zn 0.3176 0.6351 0.2209  5 Rh 2.58-2.63
7 Sm 0.0000 0.0000 0.0000  8 Rh 3.03-3.36
8 Rh 0.0899 0.1798 0.6349  2 Zn 2.58, 1 Rh 2.77
9 Rh 0.2846 0.5692 0.9131  3 Zn 2.58-2.63, 2 Rh 2.73, 1 Sm 2.78

Crystal system: monoclinic
E in eV/cell: -51.9
ρ in g/cm³: 9.05